# InSe2N2

A relaxed InSe2N2 crystal (GGA-PBE, Alexandria via LeMat-Bulk).

Cell and atoms, written as extended XYZ:
```
5
Lattice="3.285 0.000 0.000 -1.642 3.594 0.118 0.000 0.779 11.710" Properties=species:S:1:pos:R:3 pbc="T T T"
In 0.000 0.000 0.000
Se 1.642 1.400 1.794
Se 0.000 2.973 10.035
N 1.642 3.643 5.533
N 0.000 0.730 6.295
```

Summary:
* formation energy without anion corrections: -0.6 eV per formula unit
* polymorph energy (0 for the lowest one): 0 meV per atom
* D(E_F): 0.2 states/eV/cell

# TbY6Hg2

A relaxed TbY6Hg2 crystal (GGA-PBE, Alexandria via LeMat-Bulk).

Cell and atoms, written as extended XYZ:
```
9
Lattice="-1.926 -3.073 0.822 4.461 -4.658 1.454 0.901 0.313 11.695" Properties=species:S:1:pos:R:3 pbc="T T T"
Tb 0.000 0.000 0.000
Y 1.020 -4.407 2.743
Y 2.415 -3.012 11.227
Y 3.453 -4.455 8.264
Y 1.528 -6.165 5.773
Y 1.907 -1.253 8.197
Y -0.018 -2.963 5.706
Hg -0.139 -1.415 2.796
Hg 3.575 -6.003 11.174
```

Summary:
* DFT formation energy: -5.00 kcal/mol of atoms
* D(E_F): 11.0 states/eV/cell

# PmNd5Ho6

A relaxed PmNd5Ho6 crystal (GGA-PBE, Alexandria via LeMat-Bulk).

Cell and atoms, written as extended XYZ:
```
12
Lattice="4.915 0.020 -1.434 -1.382 8.860 -4.614 0.104 -0.782 9.487" Properties=species:S:1:pos:R:3 pbc="T T T"
Nd 3.079 1.226 1.433
Nd 1.247 2.438 4.308
Nd -0.691 4.430 -2.307
Nd 2.390 5.659 -0.870
Nd 0.557 6.871 2.006
Ho 3.359 4.666 2.438
Ho 4.050 0.232 4.747
Ho 1.524 5.876 5.308
Ho 2.112 2.221 -1.869
Ho -0.414 7.866 -1.308
Ho 0.278 3.432 1.001
Pm 0.000 0.000 0.000
```

Summary:
* DFT formation energy: 0.38 kcal/mol of atoms
* polymorph energy (0 for the lowest one): 5 meV per atom
* D(E_F): 15.9 states/eV/cell

The lowest D(E_F) belongs to which entry?
InSe2N2

D(E_F) of number 2 (TbY6Hg2)?
11.0 states/eV/cell